This record from the Alexandria database describes a relaxed CuIrSe2 crystal. The functional is GGA-PBE.

Calculated values
For the energy relative to the elements, uncorrected, the calculation gives 337.6 meV per atom. Its total DFT energy (no corrections) is -4.64 eV/atom. As for the crystal system: orthorhombic.

The structure in CIF format:
```
data_CuIrSe2
_chemical_formula_sum 'Cu2 Ir2 Se4'
_space_group_name_H-M_alt 'C m m 2'
_space_group_IT_number 35
_cell_length_a 2.835
_cell_length_b 5.135
_cell_length_c 9.977
_cell_angle_alpha 90.00
_cell_angle_beta 90.00
_cell_angle_gamma 90.00
loop_
_space_group_symop_operation_xyz
'x,y,z'
'-x,-y,z'
'-x,y,z'
'x,-y,z'
'x+1/2,y+1/2,z'
'-x+1/2,-y+1/2,z'
'-x+1/2,y+1/2,z'
'x+1/2,-y+1/2,z'
loop_
_atom_site_label
_atom_site_fract_x
_atom_site_fract_y
_atom_site_fract_z
Cu1 0.000 0.000 0.000
Ir1 0.000 0.500 0.783
Se1 0.000 0.000 0.575
Se2 0.000 0.500 0.208
```

---

This record from the Alexandria database describes a relaxed LiFeCo crystal. The functional is GGA-PBE.

Calculated values
Its total DFT energy (no corrections) is -5.68 eV/atom. The offset from the most stable computed form comes out at 2.2 kJ per mole of atoms. As for the crystal system: monoclinic. The calculation puts the formation energy at 0.147 eV/atom.

The structure in CIF format:
```
data_LiFeCo
_chemical_formula_sum 'Li2 Fe2 Co2'
_space_group_name_H-M_alt 'P 1 21/m 1'
_space_group_IT_number 11
_cell_length_a 4.657
_cell_length_b 2.441
_cell_length_c 6.113
_cell_angle_alpha 90.00
_cell_angle_beta 93.26
_cell_angle_gamma 90.00
loop_
_space_group_symop_operation_xyz
'x,y,z'
'-x,-y,-z'
'-x,y+1/2,-z'
'x,-y+1/2,z'
loop_
_atom_site_label
_atom_site_fract_x
_atom_site_fract_y
_atom_site_fract_z
Li1 0.078 0.250 0.335
Fe1 0.249 0.750 0.991
Co1 0.440 0.250 0.670
```

---

This record from the Alexandria database describes a relaxed CrW crystal. The functional is GGA-PBE.

Calculated values
Its total DFT energy (no corrections) is -11.19 eV/atom. As for the crystal system: orthorhombic. The calculation puts the formation energy at 0.098 eV/atom.

The structure in CIF format:
```
data_CrW
_chemical_formula_sum 'Cr2 W2'
_space_group_name_H-M_alt 'C m m m'
_space_group_IT_number 65
_space_group_name_Hall '-C 2 2'
_cell_length_a 3.065
_cell_length_b 4.367
_cell_length_c 4.216
_cell_angle_alpha 90.00
_cell_angle_beta 90.00
_cell_angle_gamma 90.00
loop_
_atom_site_label
_atom_site_fract_x
_atom_site_fract_y
_atom_site_fract_z
Cr1 0.000 0.000 0.000
W1 0.000 0.500 0.500
```